# Sr2LaPb, relaxed, DFT GGA-PBEsol
# E_form   -0.4 eV per formula unit
data_Sr2LaPb
_cell_length_a 3.9675
_cell_length_b 3.9675
_cell_length_c 35.5423
_cell_angle_alpha 90.00
_cell_angle_beta 90.00
_cell_angle_gamma 120.00
_space_group_name_H-M_alt 'P 1'
_space_group_IT_number 1
_space_group_name_Hall 'P 1'
loop_
_atom_site_label
_atom_site_type_symbol
_atom_site_fract_x
_atom_site_fract_y
_atom_site_fract_z
_atom_site_occupancy
Sr1 Sr 0.0000 0.0000 0.0000 1
Sr2 Sr 0.0000 0.0000 0.2321 1
Sr3 Sr 0.3333 0.6667 0.6667 1
Sr4 Sr 0.3333 0.6667 0.8987 1
Sr5 Sr 0.6667 0.3333 0.3333 1
Sr6 Sr 0.6667 0.3333 0.5654 1
La1 La 0.0000 0.0000 0.4726 1
La2 La 0.3333 0.6667 0.1393 1
La3 La 0.6667 0.3333 0.8060 1
Pb1 Pb 0.0000 0.0000 0.7370 1
Pb2 Pb 0.3333 0.6667 0.4036 1
Pb3 Pb 0.6667 0.3333 0.0703 1


# Sr2LaPb, relaxed, DFT GGA-PBEsol
# E_form   -1.0 eV per formula unit
data_Sr2LaPb
_cell_length_a 5.1010
_cell_length_b 5.1010
_cell_length_c 5.3896
_cell_angle_alpha 90.00
_cell_angle_beta 90.00
_cell_angle_gamma 90.00
_space_group_name_H-M_alt 'P 1'
_space_group_IT_number 1
_space_group_name_Hall 'P 1'
loop_
_atom_site_label
_atom_site_type_symbol
_atom_site_fract_x
_atom_site_fract_y
_atom_site_fract_z
_atom_site_occupancy
Sr1 Sr 0.0000 0.5000 0.0000 1
Sr2 Sr 0.5000 0.0000 0.0000 1
La1 La 0.0000 0.0000 0.5000 1
Pb1 Pb 0.5000 0.5000 0.5000 1


# SrLaPb2, relaxed, DFT GGA-PBEsol
# E_form   -2.3 eV per formula unit
data_SrLaPb2
_cell_length_a 7.3999
_cell_length_b 9.2032
_cell_length_c 3.6591
_cell_angle_alpha 90.00
_cell_angle_beta 90.00
_cell_angle_gamma 90.00
_space_group_name_H-M_alt 'P 1'
_space_group_IT_number 1
_space_group_name_Hall 'P 1'
loop_
_atom_site_label
_atom_site_type_symbol
_atom_site_fract_x
_atom_site_fract_y
_atom_site_fract_z
_atom_site_occupancy
Sr1 Sr 0.0000 0.0000 0.0000 1
Sr2 Sr 0.5000 0.5000 0.0000 1
La1 La 0.0000 0.5000 0.0000 1
La2 La 0.5000 0.0000 0.0000 1
Pb1 Pb 0.2500 0.2500 0.5000 1
Pb2 Pb 0.2500 0.7500 0.5000 1
Pb3 Pb 0.7500 0.2500 0.5000 1
Pb4 Pb 0.7500 0.7500 0.5000 1


# SrLaPb3, relaxed, DFT GGA-PBEsol
# E_form   0.8 eV per formula unit
data_SrLaPb3
_cell_length_a 5.9571
_cell_length_b 5.9571
_cell_length_c 5.9571
_cell_angle_alpha 90.00
_cell_angle_beta 90.00
_cell_angle_gamma 90.00
_space_group_name_H-M_alt 'P 1'
_space_group_IT_number 1
_space_group_name_Hall 'P 1'
loop_
_atom_site_label
_atom_site_type_symbol
_atom_site_fract_x
_atom_site_fract_y
_atom_site_fract_z
_atom_site_occupancy
Sr1 Sr 0.0000 0.0000 0.0000 1
La1 La 0.5000 0.5000 0.5000 1
Pb1 Pb 0.0000 0.5000 0.5000 1
Pb2 Pb 0.5000 0.0000 0.5000 1
Pb3 Pb 0.5000 0.5000 0.0000 1


# SrLaPb2, relaxed, DFT GGA-PBEsol
# E_form   -2.3 eV per formula unit
data_SrLaPb2
_cell_length_a 3.6712
_cell_length_b 3.6712
_cell_length_c 9.2450
_cell_angle_alpha 90.00
_cell_angle_beta 90.00
_cell_angle_gamma 90.00
_space_group_name_H-M_alt 'P 1'
_space_group_IT_number 1
_space_group_name_Hall 'P 1'
loop_
_atom_site_label
_atom_site_type_symbol
_atom_site_fract_x
_atom_site_fract_y
_atom_site_fract_z
_atom_site_occupancy
Sr1 Sr 0.0000 0.0000 0.0000 1
La1 La 0.0000 0.0000 0.5000 1
Pb1 Pb 0.5000 0.5000 0.2551 1
Pb2 Pb 0.5000 0.5000 0.7449 1


# SrLa2Pb2, relaxed, DFT GGA-PBEsol
# E_form   -2.8 eV per formula unit
data_SrLa2Pb2
_cell_length_a 9.3181
_cell_length_b 9.3181
_cell_length_c 3.8927
_cell_angle_alpha 90.00
_cell_angle_beta 90.00
_cell_angle_gamma 90.00
_space_group_name_H-M_alt 'P 1'
_space_group_IT_number 1
_space_group_name_Hall 'P 1'
loop_
_atom_site_label
_atom_site_type_symbol
_atom_site_fract_x
_atom_site_fract_y
_atom_site_fract_z
_atom_site_occupancy
Sr1 Sr 0.0000 0.0000 0.0000 1
Sr2 Sr 0.5000 0.5000 0.0000 1
La1 La 0.1321 0.3679 0.5000 1
La2 La 0.3679 0.8679 0.5000 1
La3 La 0.6321 0.1321 0.5000 1
La4 La 0.8679 0.6321 0.5000 1
Pb1 Pb 0.1667 0.6667 0.0000 1
Pb2 Pb 0.3333 0.1667 0.0000 1
Pb3 Pb 0.6667 0.8333 0.0000 1
Pb4 Pb 0.8333 0.3333 0.0000 1